# 1
Entry from the Alexandria database: a relaxed AgIr2Rh crystal (PBE-GGA).

abc: 4.426 4.426 4.426
angles: 60.00 60.00 60.00
Fractional positions:
Ir1 0.250 0.250 0.250
Ir2 0.750 0.750 0.750
Rh1 0.000 0.000 0.000
Ag1 0.500 0.500 0.500

Values from the calculation:
ΔE_f ... 0.611 eV per atom
E ... -6.370 eV/atom
Space-group type ... Fm-3m, No. 225
Excess energy over the best structure of this formula in the dataset ... 450.5 meV per atom



# 2
Entry from the Alexandria database: a relaxed AgIr2Rh crystal (PBE-GGA).

abc: 4.865 4.865 2.744
angles: 90.00 90.00 111.40
Fractional positions:
Ir1 0.000 0.500 0.000
Ir2 0.500 0.000 0.000
Rh1 0.000 0.000 0.500
Ag1 0.500 0.500 0.500

Values from the calculation:
ΔE_f ... 0.369 eV per atom
E ... -6.613 eV/atom
Space-group type ... Cmmm, No. 65
Excess energy over the best structure of this formula in the dataset ... 208.4 meV per atom



# 3
Entry from the Alexandria database: a relaxed Ag2IrRh crystal (PBE-GGA).

abc: 4.816 4.816 4.816
angles: 130.28 130.28 72.96
Fractional positions:
Rh1 0.750 0.250 0.500
Ir1 0.500 0.500 0.000
Ag1 0.000 0.000 0.000
Ag2 0.250 0.750 0.500

Values from the calculation:
ΔE_f ... 0.431 eV per atom
E ... -5.048 eV/atom
Space-group type ... I-4m2, No. 119
Excess energy over the best structure of this formula in the dataset ... 261.6 meV per atom



# 4
Entry from the Alexandria database: a relaxed Ag2IrRh crystal (PBE-GGA).

abc: 3.850 3.850 4.336
angles: 90.00 90.00 90.00
Fractional positions:
Ir1 0.500 0.500 0.500
Rh1 0.000 0.000 0.500
Ag1 0.500 0.000 0.000
Ag2 0.000 0.500 0.000

Values from the calculation:
ΔE_f ... 0.475 eV per atom
E ... -5.003 eV/atom
Space-group type ... P4/mmm, No. 123
Excess energy over the best structure of this formula in the dataset ... 306.3 meV per atom



# 5
Entry from the Alexandria database: a relaxed Ag2IrRh crystal (PBE-GGA).

abc: 2.789 2.789 8.253
angles: 90.00 90.00 90.00
Fractional positions:
Ir1 0.000 0.000 0.520
Ag1 0.000 0.000 0.990
Ag2 0.500 0.500 0.259
Rh1 0.500 0.500 0.730

Values from the calculation:
ΔE_f ... 0.169 eV per atom
E ... -5.310 eV/atom
Space-group type ... P4mm, No. 99
Excess energy over the best structure of this formula in the dataset ... 0.0 meV per atom



# 6
Entry from the Alexandria database: a relaxed AgIrRh3 crystal (PBE-GGA).

abc: 4.721 4.721 4.721
angles: 90.00 90.00 90.00
Fractional positions:
Rh1 0.000 0.000 0.500
Rh2 0.500 0.000 0.000
Rh3 0.000 0.500 0.000
Ir1 0.000 0.000 0.000
Ag1 0.500 0.500 0.500

Values from the calculation:
ΔE_f ... 1.282 eV per atom
E ... -5.471 eV/atom
Space-group type ... Pm-3m, No. 221
Excess energy over the best structure of this formula in the dataset ... 0.0 meV per atom



# 7
Entry from the Alexandria database: a relaxed Ag2IrRh crystal (PBE-GGA).

abc: 4.776 4.776 5.105
angles: 81.42 81.42 33.95
Fractional positions:
Ag1 0.753 0.753 0.766
Ag2 0.999 0.999 0.983
Ir1 0.505 0.505 0.460
Rh1 0.244 0.244 0.291

Values from the calculation:
ΔE_f ... 0.310 eV per atom
E ... -5.169 eV/atom
Space-group type ... Cm, No. 8
Excess energy over the best structure of this formula in the dataset ... 140.4 meV per atom



# 8
Entry from the Alexandria database: a relaxed AgIr2Rh crystal (PBE-GGA).

abc: 4.785 4.785 4.785
angles: 131.51 131.51 71.00
Fractional positions:
Ir1 0.250 0.750 0.500
Ir2 0.000 0.000 0.000
Rh1 0.500 0.500 0.000
Ag1 0.750 0.250 0.500

Values from the calculation:
ΔE_f ... 0.324 eV per atom
E ... -6.657 eV/atom
Space-group type ... I-4m2, No. 119
Excess energy over the best structure of this formula in the dataset ... 163.6 meV per atom



# 9
Entry from the Alexandria database: a relaxed AgIrRh2 crystal (PBE-GGA).

abc: 2.727 2.727 9.492
angles: 90.00 90.00 119.57
Fractional positions:
Rh1 0.000 0.000 0.000
Rh2 0.500 0.500 0.760
Ag1 0.000 0.000 0.502
Ir1 0.500 0.500 0.238

Values from the calculation:
ΔE_f ... 0.307 eV per atom
E ... -6.297 eV/atom
Space-group type ... Cmm2, No. 35
Excess energy over the best structure of this formula in the dataset ... 191.5 meV per atom



# 10
Entry from the Alexandria database: a relaxed AgIrRh2 crystal (PBE-GGA).

abc: 2.753 2.753 7.993
angles: 90.00 90.00 90.00
Fractional positions:
Ag1 0.000 0.000 0.499
Rh1 0.500 0.500 0.232
Rh2 0.000 0.000 0.999
Ir1 0.500 0.500 0.770

Values from the calculation:
ΔE_f ... 0.197 eV per atom
E ... -6.407 eV/atom
Space-group type ... P4mm, No. 99
Excess energy over the best structure of this formula in the dataset ... 81.5 meV per atom



# 11
Entry from the Alexandria database: a relaxed Ag2IrRh crystal (PBE-GGA).

abc: 5.014 5.014 4.819
angles: 80.91 80.91 32.07
Fractional positions:
Ag1 0.750 0.750 0.250
Ag2 0.250 0.250 0.750
Ir1 0.500 0.500 0.000
Rh1 0.000 0.000 0.500

Values from the calculation:
ΔE_f ... 0.323 eV per atom
E ... -5.155 eV/atom
Space-group type ... C2/m, No. 12
Excess energy over the best structure of this formula in the dataset ... 154.1 meV per atom



# 12
Entry from the Alexandria database: a relaxed AgIrRh2 crystal (PBE-GGA).

abc: 2.763 3.811 5.747
angles: 90.00 90.00 90.00
Fractional positions:
Rh1 0.000 0.000 0.269
Rh2 0.000 0.000 0.731
Ag1 0.500 0.500 0.000
Ir1 0.500 0.500 0.500

Values from the calculation:
ΔE_f ... 0.203 eV per atom
E ... -6.401 eV/atom
Space-group type ... Pmmm, No. 47
Excess energy over the best structure of this formula in the dataset ... 87.3 meV per atom



# 13
Entry from the Alexandria database: a relaxed Ag2IrRh crystal (PBE-GGA).

abc: 2.746 2.746 9.751
angles: 90.00 90.00 118.88
Fractional positions:
Ir1 0.500 0.500 0.500
Ag1 0.000 0.000 0.248
Ag2 0.000 0.000 0.752
Rh1 0.500 0.500 0.000

Values from the calculation:
ΔE_f ... 0.382 eV per atom
E ... -5.097 eV/atom
Space-group type ... Cmmm, No. 65
Excess energy over the best structure of this formula in the dataset ... 212.9 meV per atom



# 14
Entry from the Alexandria database: a relaxed AgIrRh2 crystal (PBE-GGA).

abc: 7.095 7.095 5.698
angles: 51.49 51.49 90.00
Fractional positions:
Rh1 0.875 0.905 0.750
Rh2 0.375 0.345 0.750
Rh3 0.095 0.625 0.250
Rh4 0.655 0.125 0.250
Ag1 0.500 0.500 0.000
Ag2 0.250 0.750 0.500
Ir1 0.750 0.250 0.500
Ir2 0.000 0.000 0.000

Values from the calculation:
ΔE_f ... 0.685 eV per atom
E ... -5.918 eV/atom
Space-group type ... I-42d, No. 122
Excess energy over the best structure of this formula in the dataset ... 570.0 meV per atom



# 15
Entry from the Alexandria database: a relaxed Ag2IrRh crystal (PBE-GGA).

abc: 2.819 3.861 5.953
angles: 90.00 90.00 90.00
Fractional positions:
Ag1 0.000 0.000 0.002
Ag2 0.500 0.500 0.249
Ir1 0.000 0.000 0.535
Rh1 0.500 0.500 0.715

Values from the calculation:
ΔE_f ... 0.250 eV per atom
E ... -5.228 eV/atom
Space-group type ... Pmm2, No. 25
Excess energy over the best structure of this formula in the dataset ... 81.2 meV per atom



# 16
Entry from the Alexandria database: a relaxed AgIrRh2 crystal (PBE-GGA).

abc: 4.426 4.426 4.426
angles: 60.00 60.00 60.00
Fractional positions:
Ir1 0.500 0.500 0.500
Rh1 0.250 0.250 0.250
Rh2 0.750 0.750 0.750
Ag1 0.000 0.000 0.000

Values from the calculation:
ΔE_f ... 0.462 eV per atom
E ... -6.142 eV/atom
Space-group type ... Fm-3m, No. 225
Excess energy over the best structure of this formula in the dataset ... 346.7 meV per atom



# 17
Entry from the Alexandria database: a relaxed AgIrRh2 crystal (PBE-GGA).

abc: 5.490 5.490 5.490
angles: 150.95 129.21 59.58
Fractional positions:
Rh1 0.734 0.734 0.000
Rh2 0.266 0.266 0.000
Ir1 0.500 0.000 0.500
Ag1 0.000 0.500 0.500

Values from the calculation:
ΔE_f ... 0.344 eV per atom
E ... -6.260 eV/atom
Space-group type ... Immm, No. 71
Excess energy over the best structure of this formula in the dataset ... 228.5 meV per atom



# 18
Entry from the Alexandria database: a relaxed AgIrRh2 crystal (PBE-GGA).

abc: 4.766 4.766 4.861
angles: 80.26 80.26 33.70
Fractional positions:
Ag1 0.500 0.500 0.000
Rh1 0.743 0.743 0.264
Rh2 0.257 0.257 0.736
Ir1 0.000 0.000 0.500

Values from the calculation:
ΔE_f ... 0.247 eV per atom
E ... -6.357 eV/atom
Space-group type ... C2/m, No. 12
Excess energy over the best structure of this formula in the dataset ... 131.5 meV per atom



# 19
Entry from the Alexandria database: a relaxed AgIrRh2 crystal (PBE-GGA).

abc: 4.795 4.795 2.757
angles: 90.00 90.00 108.85
Fractional positions:
Rh1 0.000 0.500 0.000
Rh2 0.500 0.000 0.000
Ag1 0.000 0.000 0.500
Ir1 0.500 0.500 0.500

Values from the calculation:
ΔE_f ... 0.257 eV per atom
E ... -6.347 eV/atom
Space-group type ... Cmmm, No. 65
Excess energy over the best structure of this formula in the dataset ... 141.4 meV per atom



# 20
Entry from the Alexandria database: a relaxed Ag2IrRh crystal (PBE-GGA).

abc: 2.768 2.768 9.746
angles: 90.00 90.00 119.84
Fractional positions:
Ag1 0.000 0.000 0.006
Ag2 0.500 0.500 0.745
Ir1 0.000 0.000 0.489
Rh1 0.500 0.500 0.260

Values from the calculation:
ΔE_f ... 0.294 eV per atom
E ... -5.184 eV/atom
Space-group type ... Cmm2, No. 35
Excess energy over the best structure of this formula in the dataset ... 125.3 meV per atom



# 21
Entry from the Alexandria database: a relaxed AgIr2Rh crystal (PBE-GGA).

abc: 2.742 2.742 9.524
angles: 90.00 90.00 120.24
Fractional positions:
Ir1 0.000 0.000 0.988
Ir2 0.500 0.500 0.750
Rh1 0.000 0.000 0.510
Ag1 0.500 0.500 0.251

Values from the calculation:
ΔE_f ... 0.323 eV per atom
E ... -6.658 eV/atom
Space-group type ... Cmm2, No. 35
Excess energy over the best structure of this formula in the dataset ... 163.2 meV per atom



# 22
Entry from the Alexandria database: a relaxed AgIr2Rh crystal (PBE-GGA).

abc: 2.765 2.765 7.967
angles: 90.00 90.00 90.00
Fractional positions:
Ag1 0.500 0.500 0.749
Ir1 0.000 0.000 0.019
Ir2 0.500 0.500 0.249
Rh1 0.000 0.000 0.482

Values from the calculation:
ΔE_f ... 0.167 eV per atom
E ... -6.814 eV/atom
Space-group type ... P4mm, No. 99
Excess energy over the best structure of this formula in the dataset ... 7.2 meV per atom



# 23
Entry from the Alexandria database: a relaxed AgIr2Rh crystal (PBE-GGA).

abc: 4.835 4.835 4.802
angles: 80.02 80.02 33.19
Fractional positions:
Ir1 0.759 0.759 0.237
Ir2 0.241 0.241 0.763
Ag1 0.000 0.000 0.500
Rh1 0.500 0.500 0.000

Values from the calculation:
ΔE_f ... 0.255 eV per atom
E ... -6.727 eV/atom
Space-group type ... C2/m, No. 12
Excess energy over the best structure of this formula in the dataset ... 94.4 meV per atom



# 24
Entry from the Alexandria database: a relaxed AgIr2Rh2 crystal (PBE-GGA).

abc: 7.632 7.632 2.723
angles: 90.00 90.00 90.00
Fractional positions:
Ir1 0.175 0.675 0.500
Ir2 0.325 0.175 0.500
Ir3 0.825 0.325 0.500
Ir4 0.675 0.825 0.500
Ag1 0.500 0.500 0.000
Ag2 0.000 0.000 0.000
Rh1 0.121 0.379 0.000
Rh2 0.379 0.879 0.000
Rh3 0.621 0.121 0.000
Rh4 0.879 0.621 0.000

Values from the calculation:
ΔE_f ... 0.314 eV per atom
E ... -6.742 eV/atom
Space-group type ... P4/mbm, No. 127
Excess energy over the best structure of this formula in the dataset ... 47.2 meV per atom



# 25
Entry from the Alexandria database: a relaxed AgIr2Rh crystal (PBE-GGA).

abc: 9.321 9.321 9.321
angles: 17.02 17.02 17.02
Fractional positions:
Rh1 0.500 0.500 0.500
Ir1 0.754 0.754 0.754
Ir2 0.246 0.246 0.246
Ag1 0.000 0.000 0.000

Values from the calculation:
ΔE_f ... 0.203 eV per atom
E ... -6.778 eV/atom
Space-group type ... R-3m, No. 166
Excess energy over the best structure of this formula in the dataset ... 43.2 meV per atom



# 26
Entry from the Alexandria database: a relaxed Ag2IrRh crystal (PBE-GGA).

abc: 2.709 4.354 5.449
angles: 90.00 90.00 90.00
Fractional positions:
Rh1 0.500 0.500 0.500
Ag1 0.000 0.000 0.250
Ag2 0.000 0.000 0.750
Ir1 0.500 0.500 0.000

Values from the calculation:
ΔE_f ... 0.462 eV per atom
E ... -5.016 eV/atom
Space-group type ... Pmmm, No. 47
Excess energy over the best structure of this formula in the dataset ... 293.1 meV per atom



# 27
Entry from the Alexandria database: a relaxed Ag2IrRh crystal (PBE-GGA).

abc: 5.562 5.562 5.562
angles: 150.59 128.66 60.28
Fractional positions:
Ag1 0.993 0.993 0.000
Ag2 0.258 0.758 0.500
Rh1 0.735 0.235 0.500
Ir1 0.514 0.514 0.000

Values from the calculation:
ΔE_f ... 0.420 eV per atom
E ... -5.059 eV/atom
Space-group type ... Imm2, No. 44
Excess energy over the best structure of this formula in the dataset ... 250.8 meV per atom



# 28
Entry from the Alexandria database: a relaxed AgIrRh2 crystal (PBE-GGA).

abc: 3.944 3.944 3.874
angles: 90.00 90.00 90.00
Fractional positions:
Rh1 0.000 0.500 0.000
Rh2 0.500 0.000 0.000
Ir1 0.000 0.000 0.500
Ag1 0.500 0.500 0.500

Values from the calculation:
ΔE_f ... 0.350 eV per atom
E ... -6.253 eV/atom
Space-group type ... P4/mmm, No. 123
Excess energy over the best structure of this formula in the dataset ... 235.0 meV per atom



# 29
Entry from the Alexandria database: a relaxed AgIr2Rh crystal (PBE-GGA).

abc: 2.753 4.701 4.741
angles: 90.00 90.00 90.00
Fractional positions:
Ag1 0.000 0.500 0.500
Ir1 0.000 0.000 0.000
Ir2 0.500 0.500 0.000
Rh1 0.500 0.000 0.500

Values from the calculation:
ΔE_f ... 0.441 eV per atom
E ... -6.541 eV/atom
Space-group type ... Pmmm, No. 47
Excess energy over the best structure of this formula in the dataset ... 280.5 meV per atom



# 30
Entry from the Alexandria database: a relaxed Ag2IrRh crystal (PBE-GGA).

abc: 5.129 5.129 2.709
angles: 90.00 90.00 115.70
Fractional positions:
Ir1 0.000 0.000 0.500
Rh1 0.500 0.500 0.500
Ag1 0.000 0.500 0.000
Ag2 0.500 0.000 0.000

Values from the calculation:
ΔE_f ... 0.455 eV per atom
E ... -5.023 eV/atom
Space-group type ... Cmmm, No. 65
Excess energy over the best structure of this formula in the dataset ... 286.2 meV per atom